Here is a relaxed structure of Ti2AlSnHg from Alexandria. Energies are from PBE-GGA.

Unit cell a=4.859 b=4.815 c=4.859 alpha=90.00 beta=90.00 gamma=90.00
Atoms (fractional coordinates):
1 Al 0.000 0.000 0.000
2 Ti 0.000 0.000 0.500
3 Ti 0.500 0.000 0.000
4 Hg 0.000 0.500 0.000
5 Sn 0.500 0.500 0.500

Summary:
Its total energy is -21.0 eV/f.u. For the density, the calculation gives 6.5 g cm⁻³. The density of states at the Fermi level comes out at 5.21 states/eV/cell. Its space group is P4/mmm, No. 123. For the spin magnetization, the calculation gives 0.00 μB/cell. As for the energy of formation from the pure elements: 573.9 meV per atom.

Here is a relaxed structure of AlTlSnHg from Alexandria. Energies are from PBE-GGA.

Unit cell a=5.269 b=5.269 c=5.269 alpha=60.00 beta=60.00 gamma=60.00
Atoms (fractional coordinates):
1 Tl 0.500 0.500 0.500
2 Al 0.000 0.000 0.000
3 Hg 0.750 0.750 0.750
4 Sn 0.250 0.250 0.250

Summary:
Its total energy is -9.8 eV/f.u. For the density, the calculation gives 8.8 g cm⁻³. The density of states at the Fermi level comes out at 1.36 states/eV/cell. Its space group is F-43m, No. 216. For the spin magnetization, the calculation gives 0.00 μB/cell. As for the energy of formation from the pure elements: 164.1 meV per atom.

Here is a relaxed structure of SrAl3Hg from Alexandria. Energies are from PBE-GGA.

Unit cell a=6.153 b=6.153 c=6.153 alpha=90.00 beta=90.00 gamma=90.00
Atoms (fractional coordinates):
1 Sr 0.000 0.000 0.000
2 Hg 0.500 0.500 0.500
3 Al 0.000 0.500 0.000
4 Al 0.000 0.000 0.500
5 Al 0.500 0.000 0.000

Summary:
Its total energy is -6.9 eV/f.u. Its polymorph energy (0 for the lowest one) is 139.0 kJ per mole of atoms. For the density, the calculation gives 2.6 g cm⁻³. The density of states at the Fermi level comes out at 8.72 states/eV/cell. Its space group is Pm-3m, No. 221. For the spin magnetization, the calculation gives 0.00 μB/cell. As for the energy of formation from the pure elements: 1253.9 meV per atom.

Here is a relaxed structure of Sr3AlHg3 from Alexandria. Energies are from PBE-GGA.

Unit cell a=4.664 b=6.482 c=15.778 alpha=85.53 beta=81.50 gamma=68.91
Atoms (fractional coordinates):
1 Sr 0.528 0.335 0.609
2 Sr 0.472 0.665 0.391
3 Sr 0.249 0.264 0.237
4 Sr 0.751 0.736 0.763
5 Sr 0.400 0.283 0.918
6 Sr 0.600 0.717 0.082
7 Al 0.759 0.080 0.401
8 Al 0.241 0.920 0.599
9 Hg 0.854 0.746 0.545
10 Hg 0.146 0.254 0.455
11 Hg 0.117 0.845 0.921
12 Hg 0.883 0.155 0.079
13 Hg 0.958 0.840 0.244
14 Hg 0.042 0.160 0.756

Summary:
Its total energy is -12.7 eV/f.u. For the density, the calculation gives 6.7 g cm⁻³. The density of states at the Fermi level comes out at 11.30 states/eV/cell. Its space group is C2/m, No. 12. For the spin magnetization, the calculation gives 0.00 μB/cell. As for the energy of formation from the pure elements: -436.6 meV per atom.